First-principles (GGA-PBE) data for a relaxed NaPmHo4O8 crystal, as listed in Alexandria.

Cell: 6.8055 6.8055 16.9424 Å, 90.00 90.00 120.00°
Space group R3m (No. 160, hexagonal axes)
Unique sites:
Na1 0.0000 0.0000 0.0000 (multiplicity 3)
Pm1 0.0000 0.0000 0.6258 (multiplicity 3)
Ho1 0.0000 0.0000 0.2482 (multiplicity 3)
Ho2 0.1706 0.3413 0.4560 (multiplicity 9)
O1 0.0000 0.0000 0.3805 (multiplicity 3)
O2 0.0000 0.0000 0.8562 (multiplicity 3)
O3 0.0411 0.5205 0.3823 (multiplicity 9)
O4 0.1738 0.3477 0.2022 (multiplicity 9)

total energy = -7.822 eV/atom
N(E_F) = 0.000 states/eV/f.u.
ΔE_f (raw) = -3248 meV/atom